The following is a PBE calculation of a relaxed Y2LuAu crystal, from the Alexandria database.

Summary:
Its formation enthalpy at 0 K is -8.7 kcal/mol of atoms. The calculation puts the electronic total energy at -5.56 eV per atom. As for the space group: P4/mmm (123). The density comes out at 8.33 Mg/m³.

Lattice parameters (Å, degrees): 3.612 3.612 8.404 90.00 90.00 90.00
Fractional positions:
Y: 0.000 0.000 0.789
Y: 0.000 0.000 0.211
Lu: 0.500 0.500 0.500
Au: 0.500 0.500 0.000